# 1
A plane-wave DFT calculation with PBE was carried out for an optimized crystal structure of ScRuSCl2.

Output
magnetization: 3.02 μB per formula unit
DFT total energy: -24.798 eV/f.u.
polymorph energy (0 for the lowest one): 0.0000 eV/atom
energy relative to the elements, uncorrected: -26.4 kJ per mole of atoms

```
ScRuSCl2
1.0
4.897 0.000 0.000
0.000 4.897 0.000
0.000 0.000 5.011
Sc Ru S Cl
1 1 1 2
Direct
0.000 0.000 0.000
0.500 0.500 0.500
0.000 0.000 0.500
0.000 0.500 0.000
0.500 0.000 0.000
```



# 2
A plane-wave DFT calculation with PBE was carried out for an optimized crystal structure of MgCu2Pd7.

Output
magnetization: 0.00 μB per formula unit
DFT total energy: -43.374 eV/f.u.
ΔE_f: 0.276 eV/atom

```
MgCu2Pd7
1.0
3.587 -6.155 0.000
3.587 6.155 0.000
0.000 0.000 4.317
Mg Cu Pd
1 2 7
Direct
0.000 0.000 0.000
0.300 0.700 0.500
0.700 0.300 0.500
0.072 0.299 0.500
0.210 0.790 0.000
0.299 0.072 0.500
0.500 0.500 0.500
0.701 0.928 0.500
0.790 0.210 0.000
0.928 0.701 0.500
```



# 3
A plane-wave DFT calculation with PBE was carried out for an optimized crystal structure of TlZnCo.

Output
magnetization: 0.32 μB per formula unit
DFT total energy: -9.448 eV/f.u.
polymorph energy (0 for the lowest one): 0.0779 eV/atom
ΔE_f: 0.433 eV/atom

```
TlZnCo
1.0
4.230 0.000 0.000
-2.115 3.663 0.000
0.000 0.000 3.246
Tl Zn Co
1 1 1
Direct
0.000 0.000 0.000
0.667 0.333 0.501
0.333 0.667 0.499
```



# 4
A plane-wave DFT calculation with PBE was carried out for an optimized crystal structure of Th6TcBi.

Output
magnetization: 0.00 μB per formula unit
DFT total energy: -59.135 eV/f.u.
ΔE_f: -0.046 eV/atom

```
Th6TcBi
1.0
4.664 0.000 0.000
0.000 4.853 5.389
0.000 -4.853 5.389
Th Tc Bi
6 1 1
Direct
0.000 0.000 0.000
0.000 0.079 0.467
0.000 0.467 0.079
0.500 0.291 0.758
0.500 0.758 0.291
0.500 0.785 0.785
0.500 0.164 0.164
0.000 0.560 0.560
```



# 5
A plane-wave DFT calculation with PBE was carried out for an optimized crystal structure of YMnInCl6.

Output
magnetization: 0.93 μB per formula unit
DFT total energy: -41.250 eV/f.u.
energy relative to the elements, uncorrected: -126.5 kJ per mole of atoms

```
YMnInCl6
1.0
6.470 0.000 0.000
-3.235 5.603 0.000
0.000 0.000 14.410
Y Mn In Cl
2 2 2 12
Direct
0.333 0.667 0.250
0.667 0.333 0.750
0.333 0.667 0.750
0.667 0.333 0.250
0.000 0.000 0.000
0.000 0.000 0.500
0.033 0.380 0.651
0.033 0.654 0.849
0.346 0.380 0.849
0.346 0.967 0.651
0.380 0.033 0.151
0.380 0.346 0.349
0.620 0.654 0.651
0.620 0.967 0.849
0.654 0.033 0.349
0.654 0.620 0.151
0.967 0.346 0.151
0.967 0.620 0.349
```



# 6
A plane-wave DFT calculation with PBE was carried out for an optimized crystal structure of NdAsSe.

Output
magnetization: 0.00 μB per formula unit
DFT total energy: -17.162 eV/f.u.
energy relative to the elements, uncorrected: -137.0 kJ per mole of atoms

```
NdAsSe
1.0
-2.010 2.010 9.066
2.010 -2.010 9.066
2.010 2.010 -9.066
Nd As Se
2 2 2
Direct
0.139 0.139 0.000
0.861 0.861 0.000
0.000 0.500 0.500
0.500 0.000 0.500
0.312 0.312 0.000
0.688 0.688 0.000
```



Number 1: D(E_F) 8.0 states/eV per cell. Number 2: D(E_F) 15.9 states/eV per cell. Number 3: D(E_F) 1.9 states/eV per cell. Number 4: D(E_F) 11.3 states/eV per cell. Number 5: D(E_F) 16.9 states/eV per cell. Number 6: D(E_F) 2.8 states/eV per cell.